[1]
Dy2Tm6Al | GGA-PBE | relaxed

Values from the calculation:
As for the formation energy: -0.0004 eV per atom. The value obtained for the volume is 28.94 A^3/atom. The magnetic moment comes out at 0.0 μB/cell. The value obtained for the total energy is -4.420 eV/atom.

Unit cell a=9.696 b=10.141 c=5.297 alpha=90.00 beta=90.00 gamma=90.00
Space group Pnnm (No. 58)
Inequivalent atoms, fractional coordinates:
Dy1 0.193 0.238 0.000 x4
Tm1 0.020 0.316 0.500 x4
Tm2 0.135 0.893 0.000 x4
Tm3 0.184 0.566 0.000 x4
Al1 0.000 0.000 0.500 x2

---

[2]
CaZrPb | GGA-PBE | relaxed

Values from the calculation:
As for the formation energy: -0.2172 eV per atom. The value obtained for the volume is 30.35 A^3/atom. The magnetic moment comes out at 0.0 μB/cell. The value obtained for the total energy is -4.970 eV/atom.

Unit cell a=3.815 b=3.815 c=25.021 alpha=90.00 beta=90.00 gamma=90.00
Space group I4/mmm (No. 139)
Inequivalent atoms, fractional coordinates:
Ca1 0.000 0.000 0.075 x4
Zr1 0.000 0.000 0.218 x4
Pb1 0.000 0.000 0.345 x4

---

[3]
Ce14Pu3Cu6 | GGA-PBE | relaxed

Values from the calculation:
As for the formation energy: 0.0083 eV per atom. The value obtained for the volume is 24.13 A^3/atom. The magnetic moment comes out at 14.9 μB/cell. The value obtained for the total energy is -6.542 eV/atom.

Unit cell a=10.0172 b=10.0172 c=6.3874 alpha=90.00 beta=90.00 gamma=120.00
Space group P3m1 (No. 156)
Inequivalent atoms, fractional coordinates:
Ce1 0.0000 0.0000 0.0000 x1
Ce2 0.0457 0.5229 0.1979 x3
Ce3 0.2028 0.4057 0.7659 x3
Ce4 0.2850 0.1425 0.4475 x3
Ce5 0.4205 0.2102 0.9402 x3
Ce6 0.6667 0.3333 0.5091 x1
Pu1 0.0000 0.0000 0.5979 x1
Pu2 0.3333 0.6667 0.3829 x1
Pu3 0.6667 0.3333 0.1284 x1
Cu1 0.1497 0.2993 0.2337 x3
Cu2 0.5072 0.0144 0.6543 x3

---

[4]
La2NdTmSb4 | GGA-PBE | relaxed

Values from the calculation:
Its uncorrected formation energy is -115.1 kJ per mole of atoms. The value obtained for the volume is 32.89 A^3/atom. The magnetic moment comes out at 0.0 μB/cell. The value obtained for the total energy is -5.641 eV/atom.

Unit cell a=7.838 b=4.537 c=7.850 alpha=90.00 beta=109.53 gamma=90.00
Space group P2/m (No. 10)
Inequivalent atoms, fractional coordinates:
La1 0.000 0.000 0.000 x1
La2 0.000 0.500 0.500 x1
Nd1 0.500 0.000 0.500 x1
Tm1 0.500 0.500 0.000 x1
Sb1 0.259 0.500 0.247 x2
Sb2 0.263 0.000 0.760 x2

---

[5]
Mg2CuTcH | GGA-PBE | relaxed

Values from the calculation:
The value obtained for the volume is 13.13 A^3/atom. The magnetic moment comes out at 0.8 μB/cell. The value obtained for the total energy is -4.129 eV/atom.

Unit cell a=4.235 b=4.235 c=3.659 alpha=90.00 beta=90.00 gamma=90.00
Space group P4/mmm (No. 123)
Inequivalent atoms, fractional coordinates:
Mg1 0.000 0.500 0.000 x2
Cu1 0.000 0.000 0.500 x1
Tc1 0.500 0.500 0.500 x1
H1 0.500 0.500 0.000 x1

---

[6]
Hf2NbS2 | GGA-PBE | relaxed

Values from the calculation:
Its uncorrected formation energy is -87.0 kJ per mole of atoms. The value obtained for the volume is 16.56 A^3/atom. The magnetic moment comes out at 0.0 μB/cell. The value obtained for the total energy is -8.548 eV/atom.

Unit cell a=6.920 b=6.920 c=3.458 alpha=90.00 beta=90.00 gamma=90.00
Space group P4/mbm (No. 127)
Inequivalent atoms, fractional coordinates:
Hf1 0.158 0.342 0.000 x4
Nb1 0.000 0.000 0.500 x2
S1 0.149 0.649 0.500 x4

---

[7]
ScTiCrH | GGA-PBE | relaxed

Values from the calculation:
The value obtained for the volume is 13.34 A^3/atom. The magnetic moment comes out at 0.0 μB/cell. The value obtained for the total energy is -6.744 eV/atom.

Unit cell a=2.962 b=2.966 c=6.800 alpha=98.38 beta=95.68 gamma=113.56
Space group P1 (No. 1)
Inequivalent atoms, fractional coordinates:
Sc1 0.000 0.000 0.000 x1
Ti1 0.273 0.331 0.610 x1
Cr1 0.640 0.683 0.333 x1
H1 0.275 0.031 0.314 x1

---

[8]
AlAsSe2N | GGA-PBE | relaxed

Values from the calculation:
Its uncorrected formation energy is 74.6 kJ per mole of atoms. The value obtained for the volume is 16.91 A^3/atom. The magnetic moment comes out at 0.0 μB/cell. The value obtained for the total energy is -3.964 eV/atom.

Unit cell a=4.328 b=4.328 c=4.514 alpha=90.00 beta=90.00 gamma=90.00
Space group P4/mmm (No. 123)
Inequivalent atoms, fractional coordinates:
Al1 0.000 0.000 0.000 x1
As1 0.500 0.500 0.000 x1
Se1 0.000 0.500 0.500 x2
N1 0.500 0.500 0.500 x1